# YTmTe | Alexandria | GGA-PBE | optimized geometry
data_YTmTe
_chemical_formula_sum 'Y2 Tm2 Te2'
_symmetry_space_group_name_H-M 'P 4/n m m'
_symmetry_Int_Tables_number 129
_cell_length_a 4.357
_cell_length_b 4.357
_cell_length_c 8.609
_cell_angle_alpha 90.00
_cell_angle_beta 90.00
_cell_angle_gamma 90.00
loop_
_symmetry_equiv_pos_as_xyz
'x,y,z'
'-x,-y,-z'
'-y+1/2,x,z'
'y+1/2,-x,-z'
'-x+1/2,-y+1/2,z'
'x+1/2,y+1/2,-z'
'y,-x+1/2,z'
'-y,x+1/2,-z'
'x+1/2,-y,-z'
'-x+1/2,y,z'
'-y,-x,-z'
'y,x,z'
'-x,y+1/2,-z'
'x,-y+1/2,z'
'y+1/2,x+1/2,-z'
'-y+1/2,-x+1/2,z'
loop_
_atom_site_label
_atom_site_type_symbol
_atom_site_fract_x
_atom_site_fract_y
_atom_site_fract_z
Y1 Y 0.250 0.250 0.137
Tm1 Tm 0.250 0.750 0.500
Te1 Te 0.250 0.250 0.772
# energy relative to the elements, uncorrected: -0.81 eV/atom
# calculated volume: 27.2 Å³ per atom
# theoretical density: 7.83 Mg/m³